This record from the Alexandria database describes a relaxed structure of YNi2O4. The functional is GGA+U.

For the total magnetization, the calculation gives 2.00 μB/cell. The excess energy over the best structure of this formula in the dataset comes out at 0.0647 eV per atom.

Unit cell a=6.2203 b=6.2203 c=6.2203 alpha=126.40 beta=126.40 gamma=79.24
Element x y z (fractional)
Y  0.3750  0.1250  0.2500
Y  0.6250  0.8750  0.7500
Ni  0.0000  0.0000  0.5000
Ni  0.0000  0.5000  0.0000
Ni  0.0000  0.5000  0.5000
Ni  0.5000  0.5000  0.0000
O  0.0317  0.1379  0.3169
O  0.2148  0.5317  0.3938
O  0.3210  0.7148  0.1831
O  0.3621  0.1790  0.8938
O  0.6379  0.8210  0.1062
O  0.6790  0.2852  0.8169
O  0.7852  0.4683  0.6062
O  0.9683  0.8621  0.6831